(P)
18
Lattice="8.490 0.000 0.000 0.000 9.015 0.000 -4.245 -4.507 9.374" Properties=species:S:1:pos:R:3 comment="PBE Ac5Te2Pb2, relaxed" total_magnetization_mub_per_fu=0.00 sg="Ima2 (46)" pbc="T T T"
Ac -1.841 2.125 8.347
Ac 6.086 6.632 1.027
Ac -2.404 -2.382 8.347
Ac 6.649 2.125 1.027
Ac 1.296 -1.364 2.886
Ac 2.949 3.143 6.489
Ac 2.949 3.143 2.886
Ac 1.296 -1.364 6.489
Ac -1.370 4.552 4.687
Ac 5.615 0.044 4.687
Te 0.000 8.661 0.000
Te 4.245 4.153 0.000
Te 0.262 1.482 4.687
Te 3.983 5.990 4.687
Pb 0.373 4.674 1.549
Pb 3.872 0.167 7.825
Pb 3.872 0.167 1.549
Pb 0.373 4.674 7.825



(Q)
18
Lattice="9.036 0.000 0.000 0.000 7.908 -4.065 0.000 -0.084 9.562" Properties=species:S:1:pos:R:3 comment="PBE Ac5Te2Pb2, relaxed" total_magnetization_mub_per_fu=0.00 sg="Cmce (64)" pbc="T T T"
Ac 0.000 0.000 0.000
Ac 4.518 3.954 -2.033
Ac 7.588 6.316 -0.644
Ac 1.448 3.709 0.697
Ac 3.070 7.663 -1.336
Ac 5.966 2.362 1.389
Ac 1.448 1.509 6.140
Ac 7.588 4.116 4.800
Ac 5.966 0.161 6.833
Ac 3.070 5.463 4.108
Te 0.000 1.535 2.985
Te 4.518 5.489 0.953
Te 0.000 6.290 2.511
Te 4.518 2.336 4.544
Pb 5.768 6.815 -3.504
Pb 3.268 1.093 -0.562
Pb 1.250 5.047 -2.595
Pb 7.785 2.861 -1.471



Which of them is the most stable? Correct choice: (Q).



(P)
6
Lattice="-4.119 1.830 2.756 -1.684 -2.607 4.265 8.135 3.061 5.081" Properties=species:S:1:pos:R:3 comment="PBE AcTePb, relaxed" total_magnetization_mub_per_fu=0.00 sg="C2/m (12)" pbc="T T T"
Te 1.286 -0.384 4.644
Te -0.419 0.708 1.378
Ac 0.056 -0.031 7.636
Ac 3.143 2.639 10.488
Pb 0.955 3.313 6.775
Pb 3.927 1.903 7.085



(Q)
3
Lattice="4.397 0.000 0.000 0.000 4.397 0.000 -2.199 -2.199 5.712" Properties=species:S:1:pos:R:3 comment="PBE AcTePb, relaxed" total_magnetization_mub_per_fu=0.00 sg="I4mm (107)" pbc="T T T"
Pb 2.199 2.199 4.935
Ac 0.000 0.000 3.049
Te 2.199 2.199 1.727



(R)
3
Lattice="-0.766 1.794 -3.488 -5.368 -0.428 0.959 2.733 4.431 1.679" Properties=species:S:1:pos:R:3 comment="PBE AcTePb, relaxed" total_magnetization_mub_per_fu=0.00 sg="P3m1 (156)" pbc="T T T"
Pb -0.126 0.296 -0.575
Ac -3.178 2.386 -1.124
Te -0.097 3.115 0.849



Which of them is the most stable? Correct choice: (P).



(P)
3
Lattice="-2.918 -1.428 2.013 3.662 -2.264 3.701 -1.996 5.250 0.831" Properties=species:S:1:pos:R:3 comment="PBE AcThPb, relaxed" total_magnetization_mub_per_fu=0.00 sg="P3m1 (156)" pbc="T T T"
Pb -0.429 -0.839 4.266
Ac -1.169 2.227 2.519
Th -2.570 -1.258 1.774



(Q)
6
Lattice="4.809 0.000 0.000 0.000 4.809 0.000 0.000 0.000 9.375" Properties=species:S:1:pos:R:3 comment="PBE AcThPb, relaxed" total_magnetization_mub_per_fu=0.52 sg="P4/nmm (129)" pbc="T T T"
Ac 0.000 2.405 8.006
Ac 2.405 0.000 1.369
Th 2.405 2.405 4.687
Th 0.000 0.000 4.687
Pb 0.000 2.405 2.219
Pb 2.405 0.000 7.155



(R)
6
Lattice="-6.320 -0.656 0.723 -4.645 -4.363 -0.538 -1.654 -3.397 7.786" Properties=species:S:1:pos:R:3 comment="PBE AcThPb, relaxed" total_magnetization_mub_per_fu=0.00 sg="C2/m (12)" pbc="T T T"
Ac -5.564 -2.493 3.531
Ac -7.055 -5.922 4.439
Th -6.269 -4.261 7.791
Th -6.349 -4.154 0.180
Pb -3.769 -4.814 5.547
Pb -8.849 -3.600 2.424



Which of them is the most stable? Correct choice: (Q).



(P)
4
Lattice="-0.589 -3.117 -1.796 0.498 -3.195 1.682 -12.500 -1.996 3.862" Properties=species:S:1:pos:R:3 comment="PBE Ac2ThPb, relaxed" total_magnetization_mub_per_fu=0.00 sg="R-3m (166)" pbc="T T T"
Pb -6.295 -4.154 1.874
Ac -9.070 -2.025 2.789
Ac -3.520 -6.283 0.958
Th 0.000 0.000 0.000



(Q)
4
Lattice="5.192 0.000 0.000 0.000 5.232 0.000 0.000 0.000 5.232" Properties=species:S:1:pos:R:3 comment="PBE Ac2ThPb, relaxed" total_magnetization_mub_per_fu=0.00 sg="P4/mmm (123)" pbc="T T T"
Pb 2.596 0.000 0.000
Ac 0.000 0.000 2.616
Ac 0.000 2.616 0.000
Th 2.596 2.616 2.616



Which of them is the most stable? Correct choice: (Q).